Entry 1:
{
  "formula": "LaCuH",
  "functional": "PBE-GGA",
  "state": "optimized geometry",
  "total_magnetization_mub_per_atom": 0.0000,
  "spacegroup": "I4/mmm",
  "lattice": [[-1.738, 1.738, 9.158], [1.738, -1.738, 9.158], [1.738, 1.738, -9.158]],
  "species": ["La", "La", "Cu", "Cu", "H", "H"],
  "frac_coords": [[0.163, 0.163, 0.000], [0.837, 0.837, 0.000], [0.436, 0.436, 0.000], [0.564, 0.564, 0.000], [0.297, 0.297, 0.000], [0.703, 0.703, 0.000]]
}

---

Entry 2:
{
  "formula": "LaCu2H2",
  "functional": "PBE-GGA",
  "state": "optimized geometry",
  "relative_energy_ev_per_atom": 0.121,
  "total_magnetization_mub_per_atom": 0.0000,
  "spacegroup": "P4/mbm",
  "lattice": [[5.481, 0.000, 0.000], [0.000, 5.481, 0.000], [0.000, 0.000, 4.908]],
  "species": ["La", "La", "Cu", "Cu", "Cu", "Cu", "H", "H", "H", "H"],
  "frac_coords": [[0.000, 0.000, 0.000], [0.500, 0.500, 0.000], [0.160, 0.340, 0.500], [0.340, 0.840, 0.500], [0.660, 0.160, 0.500], [0.840, 0.660, 0.500], [0.113, 0.613, 0.000], [0.387, 0.113, 0.000], [0.613, 0.887, 0.000], [0.887, 0.387, 0.000]]
}

---

Entry 3:
{
  "formula": "La2CuH2",
  "functional": "PBE-GGA",
  "state": "optimized geometry",
  "relative_energy_ev_per_atom": 0.200,
  "total_magnetization_mub_per_atom": 0.0000,
  "spacegroup": "P4/mbm",
  "lattice": [[7.119, 0.000, 0.000], [0.000, 7.119, 0.000], [0.000, 0.000, 3.368]],
  "species": ["La", "La", "La", "La", "Cu", "Cu", "H", "H", "H", "H"],
  "frac_coords": [[0.181, 0.319, 0.000], [0.319, 0.819, 0.000], [0.681, 0.181, 0.000], [0.819, 0.681, 0.000], [0.000, 0.000, 0.500], [0.500, 0.500, 0.500], [0.120, 0.620, 0.500], [0.380, 0.120, 0.500], [0.620, 0.880, 0.500], [0.880, 0.380, 0.500]]
}

---

Entry 4:
{
  "formula": "La2CuH",
  "functional": "PBE-GGA",
  "state": "optimized geometry",
  "relative_energy_ev_per_atom": 0.016,
  "total_magnetization_mub_per_atom": 0.0000,
  "spacegroup": "R-3m",
  "lattice": [[2.026, 1.170, 6.542], [-2.026, 1.170, 6.542], [0.000, -2.339, 6.542]],
  "species": ["La", "La", "Cu", "H"],
  "frac_coords": [[0.240, 0.240, 0.240], [0.760, 0.760, 0.760], [0.000, 0.000, 0.000], [0.500, 0.500, 0.500]]
}

---

| no. | total energy (eV/cell) |
| --- | --- |
| 1 | -25.190 |
| 2 | -37.566 |
| 3 | -43.167 |
| 4 | -17.933 |